(1)
A plane-wave DFT calculation with PBE was carried out for crystalline BeCrBr2 at its relaxed geometry.

Energy relative to the lowest polymorph listed for this composition: 471 meV per atom
DOS at the Fermi energy: 3.8 states/eV per cell

Cell and atoms, written as POSCAR:
```
BeCrBr2
1.0
-3.968 -1.943 8.095
-1.880 -4.931 7.563
-0.402 -1.886 9.018
Cr Br Be
1 2 1
direct
0.250 0.250 0.250
0.975 0.975 0.975
0.525 0.525 0.525
0.750 0.750 0.750
```

(2)
A plane-wave DFT calculation with PBE was carried out for crystalline CsHg9Au2 at its relaxed geometry.

ΔH_f (0 K): -0.07 eV per atom
DOS at the Fermi energy: 4.0 states/eV per cell

Cell and atoms, written as POSCAR:
```
CsHg9Au2
1.0
-4.031 -1.139 1.058
2.548 -9.321 -0.323
0.777 4.940 8.275
Cs Hg Au
1 9 2
direct
0.000 0.000 0.000
0.500 0.804 0.196
0.000 0.000 0.500
0.000 0.500 0.500
0.500 0.804 0.607
0.500 0.196 0.804
0.500 0.607 0.804
0.500 0.196 0.393
0.000 0.500 0.000
0.500 0.393 0.196
0.000 0.667 0.333
0.000 0.333 0.667
```